Record 1
Material: Sm2Ga3Ag
Method: DFT, PBE-GGA
State: optimized geometry Values from VASP.

Quantum ESPRESSO input file:
```
&SYSTEM
  ibrav = 0, nat = 12, ntyp = 3
/
ATOMIC_SPECIES
Sm 150.36 Sm.upf
Ga 69.72 Ga.upf
Ag 107.87 Ag.upf
CELL_PARAMETERS angstrom
0.000 4.505 7.819
3.772 0.000 7.819
3.772 4.505 0.000
ATOMIC_POSITIONS angstrom
Sm 5.711 4.505 7.819
Sm 1.886 2.252 3.909
Sm 5.658 6.757 11.728
Sm 1.833 4.505 7.819
Ga 3.772 2.289 6.530
Ga 3.772 4.505 5.265
Ga 3.772 2.289 9.108
Ga 3.772 6.720 6.530
Ga 3.772 4.505 10.372
Ga 3.772 6.720 9.108
Ag 3.772 4.505 2.633
Ag 3.772 4.505 13.005
```

Output
- E above lowest polymorph (eV per atom) = 0.000
- calculated formation energy (kcal/mol of atoms) = -13.4
- total energy (eV/atom) = -4.141
- space-group type = Fmmm, No. 69


Record 2
Material: SrAsCl
Method: DFT, PBE-GGA
State: optimized geometry Values from VASP.

Quantum ESPRESSO input file:
```
&SYSTEM
  ibrav = 0, nat = 3, ntyp = 3
/
ATOMIC_SPECIES
Sr 87.62 Sr.upf
As 74.92 As.upf
Cl 35.45 Cl.upf
CELL_PARAMETERS angstrom
0.000 3.689 3.689
3.689 0.000 3.689
3.689 3.689 0.000
ATOMIC_POSITIONS angstrom
Sr 0.000 0.000 0.000
As 1.844 1.844 1.844
Cl 3.689 3.689 3.689
```

Output
- E above lowest polymorph (eV per atom) = 0.470
- total energy (eV/atom) = -3.269
- space-group type = F-43m, No. 216
- E_form (uncorrected) (meV/atom) = -543


Record 3
Material: PmPu2SeO4
Method: DFT, PBE-GGA
State: optimized geometry Values from VASP.

Quantum ESPRESSO input file:
```
&SYSTEM
  ibrav = 0, nat = 8, ntyp = 4
/
ATOMIC_SPECIES
Pm 145.00 Pm.upf
Pu 244.00 Pu.upf
Se 78.96 Se.upf
O 16.00 O.upf
CELL_PARAMETERS angstrom
3.900 0.000 0.000
0.000 3.900 0.000
0.000 0.000 8.874
ATOMIC_POSITIONS angstrom
Pm 0.000 0.000 0.000
Pu 1.950 1.950 2.539
Pu 1.950 1.950 6.335
Se 0.000 0.000 4.437
O 0.000 1.950 1.459
O 0.000 1.950 7.416
O 1.950 0.000 1.459
O 1.950 0.000 7.416
```

Output
- total energy (eV/atom) = -9.960
- space-group type = P4/mmm, No. 123
- E_form (uncorrected) (meV/atom) = -2868


Record 4
Material: BaBeAl
Method: DFT, PBE-GGA
State: optimized geometry Values from VASP.

Quantum ESPRESSO input file:
```
&SYSTEM
  ibrav = 0, nat = 6, ntyp = 3
/
ATOMIC_SPECIES
Ba 137.33 Ba.upf
Be 9.01 Be.upf
Al 26.98 Al.upf
CELL_PARAMETERS angstrom
4.012 -5.013 0.000
4.012 5.013 0.000
-1.534 0.000 4.204
ATOMIC_POSITIONS angstrom
Ba 0.000 0.000 0.000
Ba 3.246 -1.282 2.102
Be 1.793 1.576 3.354
Be 4.698 1.576 0.850
Al 2.321 2.200 1.156
Al 4.170 2.200 3.048
```

Output
- E above lowest polymorph (eV per atom) = 0.115
- calculated formation energy (kcal/mol of atoms) = 1.3
- total energy (eV/atom) = -3.076
- space-group type = C2, No. 5


Record 5
Material: TiMn3Pt4
Method: DFT, PBE-GGA
State: optimized geometry Values from VASP.

Quantum ESPRESSO input file:
```
&SYSTEM
  ibrav = 0, nat = 16, ntyp = 3
/
ATOMIC_SPECIES
Ti 47.87 Ti.upf
Mn 54.94 Mn.upf
Pt 195.08 Pt.upf
CELL_PARAMETERS angstrom
9.079 0.000 0.000
0.000 5.674 0.000
0.000 0.000 4.691
ATOMIC_POSITIONS angstrom
Ti 0.000 0.000 0.000
Ti 4.539 0.000 0.000
Mn 0.000 2.837 0.000
Mn 2.270 0.000 1.860
Mn 2.270 2.837 1.819
Mn 4.539 2.837 0.000
Mn 6.809 0.000 2.831
Mn 6.809 2.837 2.872
Pt 0.000 1.419 2.345
Pt 0.000 4.255 2.345
Pt 2.270 1.424 4.161
Pt 2.270 4.250 4.161
Pt 4.539 1.419 2.345
Pt 4.539 4.255 2.345
Pt 6.809 1.424 0.530
Pt 6.809 4.250 0.530
```

Output
- calculated formation energy (kcal/mol of atoms) = -12.1
- total energy (eV/atom) = -7.969
- space-group type = Pmma, No. 51


Record 6
Material: Li4LaAgSn2
Method: DFT, PBE-GGA
State: optimized geometry Values from VASP.

Quantum ESPRESSO input file:
```
&SYSTEM
  ibrav = 0, nat = 8, ntyp = 4
/
ATOMIC_SPECIES
Li 6.94 Li.upf
La 138.91 La.upf
Ag 107.87 Ag.upf
Sn 118.71 Sn.upf
CELL_PARAMETERS angstrom
2.384 1.376 8.528
-2.384 1.376 8.528
0.000 -2.753 8.528
ATOMIC_POSITIONS angstrom
Li 0.000 0.000 2.514
Li 0.000 0.000 9.347
Li 0.000 0.000 16.238
Li 0.000 0.000 23.071
La 0.000 0.000 12.792
Ag 0.000 0.000 0.000
Sn 0.000 0.000 6.280
Sn 0.000 0.000 19.304
```

Output
- calculated formation energy (kcal/mol of atoms) = -9.0
- total energy (eV/atom) = -3.318
- space-group type = R-3m, No. 166


Record 7
Material: Na2LiTcBr
Method: DFT, PBE-GGA
State: optimized geometry Values from VASP.

Quantum ESPRESSO input file:
```
&SYSTEM
  ibrav = 0, nat = 5, ntyp = 4
/
ATOMIC_SPECIES
Na 22.99 Na.upf
Li 6.94 Li.upf
Tc 98.00 Tc.upf
Br 79.90 Br.upf
CELL_PARAMETERS angstrom
5.514 0.000 0.000
0.000 5.514 0.000
0.000 0.000 4.937
ATOMIC_POSITIONS angstrom
Na 0.000 2.757 0.000
Na 2.757 0.000 0.000
Li 0.000 0.000 2.468
Tc 2.757 2.757 2.468
Br 2.757 2.757 0.000
```

Output
- total energy (eV/atom) = -2.770
- space-group type = P4/mmm, No. 123
- E_form (uncorrected) (meV/atom) = 549


Record 8
Material: LaRhI2O
Method: DFT, PBE-GGA
State: optimized geometry Values from VASP.

Quantum ESPRESSO input file:
```
&SYSTEM
  ibrav = 0, nat = 5, ntyp = 4
/
ATOMIC_SPECIES
La 138.91 La.upf
Rh 102.91 Rh.upf
I 126.90 I.upf
O 16.00 O.upf
CELL_PARAMETERS angstrom
5.696 0.000 0.000
0.000 5.696 0.000
0.000 0.000 3.884
ATOMIC_POSITIONS angstrom
La 0.000 0.000 0.000
Rh 2.848 2.848 1.942
I 0.000 2.848 1.942
I 2.848 0.000 1.942
O 2.848 2.848 0.000
```

Output
- E above lowest polymorph (eV per atom) = 0.000
- total energy (eV/atom) = -4.717
- space-group type = P4/mmm, No. 123
- E_form (uncorrected) (meV/atom) = -649


Record 9
Material: Tb14PmSm
Method: DFT, PBE-GGA
State: optimized geometry Values from VASP.

Quantum ESPRESSO input file:
```
&SYSTEM
  ibrav = 0, nat = 16, ntyp = 3
/
ATOMIC_SPECIES
Tb 158.93 Tb.upf
Pm 145.00 Pm.upf
Sm 150.36 Sm.upf
CELL_PARAMETERS angstrom
11.542 0.000 0.000
0.000 3.585 6.205
0.000 -3.585 6.205
ATOMIC_POSITIONS angstrom
Tb 0.000 0.000 12.410
Tb 0.000 -1.792 3.105
Tb 0.000 1.792 3.105
Tb 0.000 0.000 6.205
Tb 2.864 -1.792 7.240
Tb 2.864 1.792 7.240
Tb 2.874 0.000 4.140
Tb 2.876 0.000 10.344
Tb 5.771 -1.793 5.174
Tb 5.771 1.793 5.174
Tb 8.668 0.000 4.140
Tb 8.666 0.000 10.344
Tb 8.677 -1.792 7.240
Tb 8.677 1.792 7.240
Pm 5.771 0.000 2.069
Sm 5.771 0.000 8.274
```

Output
- calculated formation energy (kcal/mol of atoms) = 0.0
- total energy (eV/atom) = -4.642
- space-group type = Amm2, No. 38


Record 10
Material: V2ReW
Method: DFT, PBE-GGA
State: optimized geometry Values from VASP.

Quantum ESPRESSO input file:
```
&SYSTEM
  ibrav = 0, nat = 8, ntyp = 3
/
ATOMIC_SPECIES
V 50.94 V.upf
Re 186.21 Re.upf
W 183.84 W.upf
CELL_PARAMETERS angstrom
-3.439 3.439 2.644
3.439 -3.439 2.644
3.439 3.439 -2.644
ATOMIC_POSITIONS angstrom
V 5.158 1.654 -0.661
V 1.654 1.719 0.661
V -1.719 1.785 1.983
V 1.785 1.719 3.305
Re 0.000 0.000 0.000
Re 0.000 3.439 1.322
W 3.439 0.000 1.322
W 0.000 0.000 2.644
```

Output
- E above lowest polymorph (eV per atom) = 0.917
- calculated formation energy (kcal/mol of atoms) = 15.4
- total energy (eV/atom) = -10.242
- space-group type = I-42d, No. 122


Record 11
Material: La2Pm6Y3
Method: DFT, PBE-GGA
State: optimized geometry Values from VASP.

Quantum ESPRESSO input file:
```
&SYSTEM
  ibrav = 0, nat = 11, ntyp = 3
/
ATOMIC_SPECIES
La 138.91 La.upf
Pm 145.00 Pm.upf
Y 88.91 Y.upf
CELL_PARAMETERS angstrom
1.823 1.052 32.717
-1.823 1.052 32.717
0.000 -2.105 32.717
ATOMIC_POSITIONS angstrom
La 0.000 0.000 4.540
La 0.000 0.000 93.613
Pm 0.000 0.000 13.438
Pm 0.000 0.000 31.235
Pm 0.000 0.000 40.311
Pm 0.000 0.000 57.841
Pm 0.000 0.000 66.917
Pm 0.000 0.000 84.714
Y 0.000 0.000 22.204
Y 0.000 0.000 49.076
Y 0.000 0.000 75.948
```

Output
- E above lowest polymorph (eV per atom) = 0.000
- calculated formation energy (kcal/mol of atoms) = 0.3
- total energy (eV/atom) = -5.235
- space-group type = R-3m, No. 166